Entry 1:
! SrAl3Ru GGA-PBE relaxed; values from VASP
&SYSTEM
  ibrav = 0, nat = 5, ntyp = 3
/
ATOMIC_SPECIES
Al 26.98 Al.upf
Ru 101.07 Ru.upf
Sr 87.62 Sr.upf
ATOMIC_POSITIONS crystal
Al 0.000 0.000 0.500
Al 0.000 0.500 0.000
Al 0.500 0.000 0.000
Ru 0.500 0.500 0.500
Sr 0.000 0.000 0.000
CELL_PARAMETERS angstrom
5.573 0.000 0.000
0.000 5.573 0.000
0.000 0.000 5.573
! - space-group type = No. 221
! - energy above the lowest structure with this stoichiometry (meV per atom) = 2546.1
! - calculated formation energy (kJ/mol of formula units) = 1042

Entry 2:
! ScCo2W GGA-PBE relaxed; values from VASP
&SYSTEM
  ibrav = 0, nat = 4, ntyp = 3
/
ATOMIC_SPECIES
Sc 44.96 Sc.upf
W 183.84 W.upf
Co 58.93 Co.upf
ATOMIC_POSITIONS crystal
Sc 0.500 0.000 0.500
W 0.000 0.500 0.500
Co 0.500 0.500 0.000
Co 0.000 0.000 0.000
CELL_PARAMETERS angstrom
4.474 0.047 0.012
-0.053 4.474 0.012
-0.009 -0.009 2.791
! - space-group type = No. 65
! - energy above the lowest structure with this stoichiometry (meV per atom) = 28.2
! - calculated formation energy (kJ/mol of formula units) = -15

Entry 3:
! HfZr3Rh GGA-PBE relaxed; values from VASP
&SYSTEM
  ibrav = 0, nat = 10, ntyp = 3
/
ATOMIC_SPECIES
Hf 178.49 Hf.upf
Zr 91.22 Zr.upf
Rh 102.91 Rh.upf
ATOMIC_POSITIONS crystal
Hf 0.456 0.404 0.809
Hf 0.956 0.596 0.191
Zr 0.251 0.880 0.761
Zr 0.784 0.644 0.694
Zr 0.284 0.356 0.306
Zr 0.751 0.120 0.239
Zr 0.284 0.949 0.306
Zr 0.784 0.051 0.694
Rh 0.010 0.338 0.676
Rh 0.510 0.662 0.324
CELL_PARAMETERS angstrom
-4.780 -2.558 1.691
3.954 -6.806 0.880
-0.950 4.611 4.290
! - space-group type = No. 36
! - energy above the lowest structure with this stoichiometry (meV per atom) = 0.0
! - calculated formation energy (kJ/mol of formula units) = -76

Entry 4:
! TaHg3Se2F6 GGA-PBE relaxed; values from VASP
&SYSTEM
  ibrav = 0, nat = 12, ntyp = 4
/
ATOMIC_SPECIES
Se 78.96 Se.upf
F 19.00 F.upf
Ta 180.95 Ta.upf
Hg 200.59 Hg.upf
ATOMIC_POSITIONS crystal
Se 0.829 0.312 0.624
Se 0.171 0.688 0.376
F 0.723 0.253 0.140
F 0.283 0.087 0.173
F 0.723 0.887 0.140
F 0.277 0.113 0.860
F 0.717 0.913 0.827
F 0.277 0.747 0.860
Ta 0.500 0.000 0.000
Hg 0.500 0.500 0.500
Hg 0.500 0.000 0.500
Hg 0.000 0.500 0.000
CELL_PARAMETERS angstrom
-4.892 -1.363 0.498
1.729 -3.957 6.153
-0.245 8.465 0.921
! - space-group type = No. 12
! - ΔE_f (raw) (eV per atom) = -1.914

Entry 5:
! La8NdDy5 GGA-PBE relaxed; values from VASP
&SYSTEM
  ibrav = 0, nat = 14, ntyp = 3
/
ATOMIC_SPECIES
Dy 162.50 Dy.upf
Nd 144.24 Nd.upf
La 138.91 La.upf
ATOMIC_POSITIONS crystal
Dy 0.950 0.240 0.068
Dy 0.577 0.984 0.599
Dy 0.807 0.745 0.700
Dy 0.295 0.023 0.907
Dy 0.865 0.971 0.282
Nd 0.160 0.514 0.533
La 0.479 0.535 0.234
La 0.094 0.233 0.746
La 0.063 0.786 0.440
La 0.677 0.250 0.327
La 0.208 0.727 0.106
La 0.356 0.247 0.467
La 0.694 0.456 0.937
La 0.527 0.790 0.904
CELL_PARAMETERS angstrom
-6.494 -4.180 -4.204
3.195 -3.736 7.227
-4.046 7.575 1.593
! - space-group type = No. 1
! - calculated formation energy (kJ/mol of formula units) = 205

Entry 6:
! AcPm2SmY5 GGA-PBE relaxed; values from VASP
&SYSTEM
  ibrav = 0, nat = 18, ntyp = 4
/
ATOMIC_SPECIES
Sm 150.36 Sm.upf
Y 88.91 Y.upf
Pm 145.00 Pm.upf
Ac 227.00 Ac.upf
ATOMIC_POSITIONS crystal
Sm 0.250 0.250 0.500
Sm 0.750 0.750 0.500
Y 0.157 0.079 0.736
Y 0.579 0.657 0.736
Y 0.343 0.843 0.264
Y 0.421 0.343 0.264
Y 0.921 0.421 0.264
Y 0.000 0.000 0.000
Y 0.079 0.579 0.736
Y 0.657 0.157 0.736
Y 0.500 0.500 0.000
Y 0.843 0.921 0.264
Pm 0.615 0.115 0.000
Pm 0.385 0.885 0.000
Pm 0.885 0.615 0.000
Pm 0.115 0.385 0.000
Ac 0.750 0.250 0.500
Ac 0.250 0.750 0.500
CELL_PARAMETERS angstrom
8.857 0.000 0.000
0.000 8.857 0.000
-4.428 -4.428 7.908
! - space-group type = No. 140
! - calculated formation energy (kJ/mol of formula units) = 221

Entry 7:
! HgHF2 GGA-PBE relaxed; values from VASP
&SYSTEM
  ibrav = 0, nat = 16, ntyp = 3
/
ATOMIC_SPECIES
H 1.01 H.upf
Hg 200.59 Hg.upf
F 19.00 F.upf
ATOMIC_POSITIONS crystal
H 0.068 0.875 0.502
H 0.568 0.125 0.498
H 0.568 0.625 0.002
H 0.068 0.375 0.998
Hg 0.068 0.900 0.080
Hg 0.068 0.400 0.420
Hg 0.568 0.100 0.920
Hg 0.568 0.600 0.580
F 0.568 0.057 0.613
F 0.068 0.943 0.387
F 0.568 0.725 0.139
F 0.068 0.275 0.861
F 0.068 0.443 0.113
F 0.068 0.775 0.639
F 0.568 0.225 0.361
F 0.568 0.557 0.887
CELL_PARAMETERS angstrom
-2.486 -3.001 0.460
2.879 -1.326 6.907
-5.295 4.866 3.141
! - space-group type = No. 62
! - energy above the lowest structure with this stoichiometry (meV per atom) = 0.0

Entry 8:
! BaFeTeMo2 GGA-PBE relaxed; values from VASP
&SYSTEM
  ibrav = 0, nat = 5, ntyp = 4
/
ATOMIC_SPECIES
Te 127.60 Te.upf
Fe 55.84 Fe.upf
Mo 95.94 Mo.upf
Ba 137.33 Ba.upf
ATOMIC_POSITIONS crystal
Te 0.500 0.500 0.500
Fe 0.000 0.000 0.000
Mo 0.000 0.000 0.500
Mo 0.500 0.000 0.000
Ba 0.000 0.500 0.000
CELL_PARAMETERS angstrom
-1.205 -1.370 4.234
0.721 -5.742 -1.653
4.416 0.176 1.314
! - space-group type = No. 123
! - ΔE_f (raw) (eV per atom) = 0.947

Entry 9:
! BeSiB2 GGA-PBE relaxed; values from VASP
&SYSTEM
  ibrav = 0, nat = 8, ntyp = 3
/
ATOMIC_SPECIES
B 10.81 B.upf
Be 9.01 Be.upf
Si 28.09 Si.upf
ATOMIC_POSITIONS crystal
B 0.130 0.625 0.250
B 0.875 0.870 0.750
B 0.620 0.125 0.250
B 0.375 0.380 0.750
Be 0.500 0.500 0.000
Be 0.250 0.750 0.500
Si 0.000 0.000 0.000
Si 0.750 0.250 0.500
CELL_PARAMETERS angstrom
-2.857 1.883 -3.695
-3.888 -2.779 1.590
-4.414 2.259 1.132
! - space-group type = No. 122
! - ΔE_f (raw) (eV per atom) = 0.958
! - energy above the lowest structure with this stoichiometry (meV per atom) = 0.0

Entry 10:
! Pu2ThSc GGA-PBE relaxed; values from VASP
&SYSTEM
  ibrav = 0, nat = 4, ntyp = 3
/
ATOMIC_SPECIES
Sc 44.96 Sc.upf
Pu 244.00 Pu.upf
Th 232.04 Th.upf
ATOMIC_POSITIONS crystal
Sc 0.500 0.500 0.500
Pu 0.750 0.750 0.750
Pu 0.250 0.250 0.250
Th 0.000 0.000 0.000
CELL_PARAMETERS angstrom
-1.550 1.118 5.019
-1.015 -3.990 3.449
3.337 -0.912 4.108
! - space-group type = No. 225
! - energy above the lowest structure with this stoichiometry (meV per atom) = 82.9
! - calculated formation energy (kJ/mol of formula units) = 86

Entry 11:
! Eu3Nb GGA-PBE relaxed; values from VASP
&SYSTEM
  ibrav = 0, nat = 8, ntyp = 2
/
ATOMIC_SPECIES
Eu 151.96 Eu.upf
Nb 92.91 Nb.upf
ATOMIC_POSITIONS crystal
Eu 0.174 0.348 0.250
Eu 0.174 0.826 0.250
Eu 0.826 0.174 0.750
Eu 0.652 0.826 0.250
Eu 0.348 0.174 0.750
Eu 0.826 0.652 0.750
Nb 0.333 0.667 0.750
Nb 0.667 0.333 0.250
CELL_PARAMETERS angstrom
-4.949 3.087 4.133
-0.769 0.006 -7.107
-2.810 -4.906 0.300
! - space-group type = No. 194
! - energy above the lowest structure with this stoichiometry (meV per atom) = 0.0
! - calculated formation energy (kJ/mol of formula units) = 205

Entry 12:
! TiFeCo2 GGA-PBE relaxed; values from VASP
&SYSTEM
  ibrav = 0, nat = 8, ntyp = 3
/
ATOMIC_SPECIES
Fe 55.84 Fe.upf
Co 58.93 Co.upf
Ti 47.87 Ti.upf
ATOMIC_POSITIONS crystal
Fe 0.750 0.250 0.500
Fe 0.000 0.000 0.000
Co 0.101 0.625 0.250
Co 0.375 0.351 0.750
Co 0.649 0.125 0.250
Co 0.875 0.899 0.750
Ti 0.250 0.750 0.500
Ti 0.500 0.500 0.000
CELL_PARAMETERS angstrom
-2.910 -1.683 -0.954
1.704 -1.414 -2.702
1.618 -8.138 3.021
! - space-group type = No. 122
! - calculated formation energy (kJ/mol of formula units) = 116

Number 1: D(E_F) 8.0 states/eV per cell. Number 2: D(E_F) 4.4 states/eV per cell. Number 3: D(E_F) 11.1 states/eV per cell. Number 4: D(E_F) 4.9 states/eV per cell. Number 5: D(E_F) 20.2 states/eV per cell. Number 6: D(E_F) 20.3 states/eV per cell. Number 7: D(E_F) 4.0 states/eV per cell. Number 8: D(E_F) 6.6 states/eV per cell. Number 9: D(E_F) 3.7 states/eV per cell. Number 10: D(E_F) 11.1 states/eV per cell. Number 11: D(E_F) 18.6 states/eV per cell. Number 12: D(E_F) 11.8 states/eV per cell.